1.
CeNdYHo | PBE | optimized geometry Values from VASP.

Properties
**Formation energy from the elements**: 63.0 kJ/mol of formula units
**Space group**: F-43m

```
&SYSTEM
  ibrav = 0, nat = 4, ntyp = 4
/
ATOMIC_SPECIES
Ce 140.12 Ce.upf
Nd 144.24 Nd.upf
Y 88.91 Y.upf
Ho 164.93 Ho.upf
ATOMIC_POSITIONS angstrom
Ce 0.0000 0.0000 0.0000
Nd 4.0338 4.0338 4.0338
Y 6.0507 6.0507 6.0507
Ho 2.0169 2.0169 2.0169
CELL_PARAMETERS angstrom
0.0000 4.0338 4.0338
4.0338 0.0000 4.0338
4.0338 4.0338 0.0000
```



2.
BaCd4Co | PBE | optimized geometry Values from VASP.

Properties
**Formation energy from the elements**: 120.0 kJ/mol of formula units
**Space group**: F-43m

```
&SYSTEM
  ibrav = 0, nat = 6, ntyp = 3
/
ATOMIC_SPECIES
Ba 137.33 Ba.upf
Cd 112.41 Cd.upf
Co 58.93 Co.upf
ATOMIC_POSITIONS angstrom
Ba 0.0000 0.0000 0.0000
Cd 5.2520 3.1712 3.1712
Cd 3.1712 5.2520 3.1712
Cd 3.1712 3.1712 5.2520
Cd 5.2520 5.2520 5.2520
Co 2.1058 2.1058 2.1058
CELL_PARAMETERS angstrom
0.0000 4.2116 4.2116
4.2116 0.0000 4.2116
4.2116 4.2116 0.0000
```



3.
Tb4CePrTm2 | PBE | optimized geometry Values from VASP.

Properties
**Formation energy from the elements**: 39.2 kJ/mol of formula units
**Space group**: Pmmm

```
&SYSTEM
  ibrav = 0, nat = 8, ntyp = 4
/
ATOMIC_SPECIES
Tb 158.93 Tb.upf
Ce 140.12 Ce.upf
Pr 140.91 Pr.upf
Tm 168.93 Tm.upf
ATOMIC_POSITIONS angstrom
Tb 0.0000 0.0000 2.4702
Tb 0.0000 0.0000 7.5855
Tb 2.5154 2.5217 2.4764
Tb 2.5154 2.5217 7.5793
Ce 0.0000 2.5217 0.0000
Pr 2.5154 0.0000 5.0279
Tm 0.0000 2.5217 5.0279
Tm 2.5154 0.0000 0.0000
CELL_PARAMETERS angstrom
5.0308 0.0000 0.0000
0.0000 5.0434 0.0000
0.0000 0.0000 10.0557
```



4.
V3FeW | PBE | optimized geometry Values from VASP.

Properties
**Formation energy from the elements**: 431.5 kJ/mol of formula units
**Space group**: Pm-3m
**Offset from the most stable computed form**: 768 meV per atom

```
&SYSTEM
  ibrav = 0, nat = 5, ntyp = 3
/
ATOMIC_SPECIES
V 50.94 V.upf
Fe 55.84 Fe.upf
W 183.84 W.upf
ATOMIC_POSITIONS angstrom
V 0.0000 0.0000 2.1195
V 0.0000 2.1195 0.0000
V 2.1195 0.0000 0.0000
Fe 0.0000 0.0000 0.0000
W 2.1195 2.1195 2.1195
CELL_PARAMETERS angstrom
4.2390 0.0000 0.0000
0.0000 4.2390 0.0000
0.0000 0.0000 4.2390
```



5.
Y6Bi2Pd | PBE | optimized geometry Values from VASP.

Properties
**Formation energy from the elements**: -468.8 kJ/mol of formula units
**Space group**: P2_1/c

```
&SYSTEM
  ibrav = 0, nat = 18, ntyp = 3
/
ATOMIC_SPECIES
Y 88.91 Y.upf
Bi 208.98 Bi.upf
Pd 106.42 Pd.upf
ATOMIC_POSITIONS angstrom
Y -2.3377 1.5784 4.7023
Y -5.4941 2.4406 9.8430
Y -0.7646 5.3995 4.6870
Y -3.9210 6.6575 9.8277
Y 0.9625 0.2082 2.4995
Y -2.1939 3.8108 7.6402
Y 2.3973 4.2272 2.6412
Y -0.7591 7.8298 7.7820
Y 4.1243 1.3805 0.4537
Y 0.9679 2.6385 5.5944
Y 5.6975 5.5974 0.4385
Y 2.5411 6.4596 5.5792
Bi -3.7596 0.9433 7.6555
Bi -0.6032 3.0758 2.5148
Bi 0.8065 4.9623 7.7666
Bi 3.9629 7.0948 2.6259
Pd 0.1017 0.0000 5.1407
Pd 3.2581 4.0190 0.0000
CELL_PARAMETERS angstrom
6.5162 0.0000 0.0000
0.0000 8.0380 0.0000
-6.3128 0.0000 10.2814
```